Record 1
# KCu2Br8

Crystalline KCu2Br8 at its relaxed geometry (GGA-PBE, Alexandria).

It has space group I422 (No. 97), with a = 7.589 Å, b = 7.589 Å, c = 13.365 Å, α = 90.00°, β = 90.00° and γ = 90.00°. The distinct sites, in fractional coordinates, are K at (0.000, 0.000, 0.000), Cu at (0.000, 0.500, 0.250) and Br at (0.133, 0.327, 0.628).

Its total energy is -2.422 eV per atom. Its calculated volume is 35.0 A^3/atom.



Record 2
# BOsRh3

Crystalline BOsRh3 at its relaxed geometry (GGA-PBE, Alexandria).

It has space group Pm-3m (No. 221), with a = 4.701 Å, b = 4.701 Å, c = 4.701 Å, α = 90.00°, β = 90.00° and γ = 90.00°. The distinct sites, in fractional coordinates, are B at (0.000, 0.000, 0.000), Os at (0.500, 0.500, 0.500) and Rh at (0.000, 0.500, 0.500).

Its total energy is -5.850 eV per atom. Its calculated volume is 20.8 A^3/atom. The value obtained for the relative energy among the computed polymorphs is 1.800 eV/atom.



Record 3
# TaCoAs3

Crystalline TaCoAs3 at its relaxed geometry (GGA-PBE, Alexandria).

It has space group Pm-3m (No. 221), with a = 4.519 Å, b = 4.519 Å, c = 4.519 Å, α = 90.00°, β = 90.00° and γ = 90.00°. The distinct sites, in fractional coordinates, are Ta at (0.000, 0.000, 0.000), Co at (0.500, 0.500, 0.500) and As at (0.000, 0.500, 0.500).

Its total energy is -5.852 eV per atom. Its calculated volume is 18.5 A^3/atom. The value obtained for the relative energy among the computed polymorphs is 0.000 eV/atom.



Record 4
# HgSb2Pt

Crystalline HgSb2Pt at its relaxed geometry (GGA-PBE, Alexandria).

It has space group P4/mmm (No. 123), with a = 4.629 Å, b = 4.629 Å, c = 4.203 Å, α = 90.00°, β = 90.00° and γ = 90.00°. The distinct sites, in fractional coordinates, are Hg at (0.000, 0.000, 0.000), Sb at (0.000, 0.500, 0.500) and Pt at (0.500, 0.500, 0.000).

Its total energy is -3.460 eV per atom. Its calculated volume is 22.5 A^3/atom.



Record 5
# BaCaIr

Crystalline BaCaIr at its relaxed geometry (GGA-PBE, Alexandria).

It has space group P3m1 (No. 156), with a = 4.4070 Å, b = 4.4070 Å, c = 6.6874 Å, α = 90.00°, β = 90.00° and γ = 120.00°. The distinct sites, in fractional coordinates, are Ba at (0.0000, 0.0000, 0.0000), Ca at (0.6667, 0.3333, 0.5559) and Ir at (0.3333, 0.6667, 0.7453).

Its total energy is -4.298 eV per atom. Its calculated volume is 37.5 A^3/atom. The value obtained for the relative energy among the computed polymorphs is 0.121 eV/atom.



Record 6
# Pr3Zn3Ru2

Crystalline Pr3Zn3Ru2 at its relaxed geometry (GGA-PBE, Alexandria).

It has space group Cmcm (No. 63), with a = 4.084 Å, b = 10.638 Å, c = 16.481 Å, α = 90.00°, β = 90.00° and γ = 90.00°. The distinct sites, in fractional coordinates, are Pr at (0.000, 0.062, 0.105), Pr at (0.000, 0.338, 0.250), Zn at (0.000, 0.338, 0.031), Zn at (0.000, 0.369, 0.750) and Ru at (0.000, 0.231, 0.619).

Its total energy is -4.839 eV per atom. Its calculated volume is 22.4 A^3/atom.



Record 7
# TlRu2

Crystalline TlRu2 at its relaxed geometry (GGA-PBE, Alexandria).

It has space group Pnma (No. 62), with a = 5.848 Å, b = 4.035 Å, c = 8.592 Å, α = 90.00°, β = 90.00° and γ = 90.00°. The distinct sites, in fractional coordinates, are Tl at (0.133, 0.250, 0.096), Ru at (0.092, 0.250, 0.737) and Ru at (0.110, 0.250, 0.431).

Its total energy is -6.328 eV per atom. Its calculated volume is 16.9 A^3/atom. The value obtained for the relative energy among the computed polymorphs is 0.235 eV/atom.



Record 8
# BaCa2Pt

Crystalline BaCa2Pt at its relaxed geometry (GGA-PBE, Alexandria).

It has space group R-3m (No. 166, hexagonal axes), with a = 4.2480 Å, b = 4.2480 Å, c = 30.2374 Å, α = 90.00°, β = 90.00° and γ = 120.00°. The distinct sites, in fractional coordinates, are Ba at (0.0000, 0.0000, 0.0000), Ca at (0.0000, 0.0000, 0.2161) and Pt at (0.0000, 0.0000, 0.5000).

Its total energy is -3.454 eV per atom. Its calculated volume is 39.4 A^3/atom. The value obtained for the relative energy among the computed polymorphs is 0.101 eV/atom.